The following is a GGA+U calculation of a relaxed structure of BaSr3Ca2Mo2O12, from Alexandria.

The structure belongs to space group R3m (No. 160, hexagonal axes); the cell edges are 5.9095, 5.9095 and 29.4615 Å and the angles 90.00°, 90.00° and 120.00°. The distinct sites, in fractional coordinates, are Ba at (0.0000, 0.0000, 0.0000), Sr at (0.0000, 0.0000, 0.2532), Sr at (0.0000, 0.0000, 0.5048), Sr at (0.0000, 0.0000, 0.7588), Ca at (0.0000, 0.0000, 0.3741), Ca at (0.0000, 0.0000, 0.8739), Mo at (0.0000, 0.0000, 0.1230), Mo at (0.0000, 0.0000, 0.6223), O at (0.0258, 0.5129, 0.7507), O at (0.0303, 0.5152, 0.2484), O at (0.1749, 0.3499, 0.3245) and O at (0.1759, 0.3519, 0.8264).

For the total energy, the calculation gives -6.7315 eV/atom.